VASP calculation (PBE-GGA) on ZrSO2F after structural relaxation.

Size of the total moment = 0.246 μB/atom
Symmetry = P4/mmm, No. 123
D(E_F) = 2.94 states/eV per cell
Formation energy without anion corrections = -0.4572 eV per atom

Unit cell a=3.6731 b=3.6731 c=4.8538 alpha=90.00 beta=90.00 gamma=90.00
Fractional coordinates of all 5 atoms:
Zr: 0.5000 0.5000 0.5000
F: 0.0000 0.0000 0.5000
O: 0.5000 0.0000 0.0000
O: 0.0000 0.5000 0.0000
S: 0.0000 0.0000 0.0000